[1]
InCuSn2O after structural relaxation, computed with PBE.

Spin magnetization = 0.0 μB per cell
E_form (uncorrected) = 0.41 eV/atom
DOS(E_F) = 2.048 states/eV/cell
Space group = P4/mmm

Cell lengths 4.947, 4.916, 4.947 Å; angles 90.00, 90.00, 90.00 degrees
Sites, in units of the cell vectors:
O1 0.500 0.500 0.500
Sn1 0.000 0.000 0.500
Sn2 0.500 0.000 0.000
Cu1 0.000 0.000 0.000
In1 0.000 0.500 0.000


[2]
Bi2HPd6 after structural relaxation, computed with PBE.

Spin magnetization = 0.0 μB per cell
Offset from the most stable computed form = 0 meV/atom
DOS(E_F) = 17.982 states/eV/cell
Space group = I4/mmm

Cell lengths 5.894, 5.894, 8.318 Å; angles 90.00, 89.99, 90.00 degrees
Sites, in units of the cell vectors:
Bi1 0.000 0.500 0.750
Bi2 0.500 0.000 0.750
Bi3 0.500 0.000 0.250
Bi4 0.000 0.500 0.250
H1 0.500 0.500 0.000
H2 0.000 0.000 0.500
Pd1 0.000 0.000 0.250
Pd2 0.749 0.749 0.500
Pd3 0.751 0.751 0.000
Pd4 0.749 0.251 0.500
Pd5 0.751 0.249 0.000
Pd6 0.500 0.500 0.250
Pd7 0.000 0.000 0.750
Pd8 0.251 0.251 0.500
Pd9 0.249 0.249 0.000
Pd10 0.251 0.749 0.500
Pd11 0.249 0.751 0.000
Pd12 0.500 0.500 0.750


[3]
Cs2PuCoCl6 after structural relaxation, computed with PBE.

Spin magnetization = 7.3 μB per cell
E_form (uncorrected) = -1.59 eV/atom
DOS(E_F) = 16.942 states/eV/cell
Space group = P-3m1

Cell lengths 6.364, 7.609, 7.609 Å; angles 120.00, 90.00, 90.00 degrees
Each line ends with the local moment (μB).
Sites, in units of the cell vectors:
Cs1 0.221 0.333 0.667  0.00
Cs2 0.779 0.667 0.333  0.00
Pu1 0.500 0.000 0.000  -5.12
Co1 0.000 0.000 0.000  -1.98
Cl1 0.774 0.159 0.318  -0.01
Cl2 0.774 0.159 0.841  -0.01
Cl3 0.774 0.682 0.841  -0.01
Cl4 0.226 0.841 0.159  -0.01
Cl5 0.226 0.318 0.159  -0.01
Cl6 0.226 0.841 0.682  -0.01


[4]
GaFe2Ni7 after structural relaxation, computed with PBE.

Spin magnetization = 9.0 μB per cell
E_form = 492 meV/atom
DOS(E_F) = 13.111 states/eV/cell
Space group = Cmmm

Cell lengths 3.834, 6.754, 6.754 Å; angles 123.98, 90.00, 90.00 degrees
Each line ends with the local moment (μB).
Sites, in units of the cell vectors:
Ga1 0.000 0.000 0.000  -0.04
Fe1 0.500 0.703 0.297  2.76
Fe2 0.500 0.297 0.703  2.76
Ni1 0.000 0.803 0.197  0.61
Ni2 0.000 0.197 0.803  0.61
Ni3 0.500 0.082 0.290  0.44
Ni4 0.500 0.918 0.710  0.44
Ni5 0.500 0.290 0.082  0.44
Ni6 0.500 0.710 0.918  0.44
Ni7 0.500 0.500 0.500  0.76


[5]
UAs2Ru2Rh after structural relaxation, computed with PBE.

Spin magnetization = 3.1 μB per cell
E_form = -325 meV/atom
DOS(E_F) = 14.434 states/eV/cell
Space group = Pmc2_1

Cell lengths 4.111, 6.271, 7.762 Å; angles 90.00, 90.00, 90.00 degrees
Each line ends with the local moment (μB).
Sites, in units of the cell vectors:
U1 0.000 0.944 0.423  1.69
U2 0.000 0.444 0.577  1.69
As1 0.000 0.253 0.901  -0.01
As2 0.500 0.246 0.327  -0.01
As3 0.000 0.753 0.099  -0.01
As4 0.500 0.746 0.673  -0.01
Ru1 0.500 0.069 0.039  -0.07
Ru2 0.000 0.375 0.194  -0.05
Ru3 0.500 0.569 0.961  -0.07
Ru4 0.000 0.875 0.806  -0.05
Rh1 0.500 0.159 0.670  -0.15
Rh2 0.500 0.659 0.330  -0.15


[6]
KCd2Sn5 after structural relaxation, computed with PBE.

Spin magnetization = 0.0 μB per cell
E_form = -16 meV/atom
DOS(E_F) = 3.435 states/eV/cell
Space group = Immm

Cell lengths 4.419, 7.854, 7.854 Å; angles 69.85, 73.66, 73.66 degrees
Sites, in units of the cell vectors:
K1 0.000 0.000 0.000
Cd1 0.738 0.762 0.762
Cd2 0.262 0.238 0.238
Sn1 0.000 0.500 0.500
Sn2 0.644 0.551 0.161
Sn3 0.356 0.449 0.839
Sn4 0.356 0.839 0.449
Sn5 0.644 0.161 0.551